VASP calculation (PBE) on a relaxed SrP4Se crystal.

Cell lengths 8.2239, 8.2239, 8.2239 Å; angles 90.00, 90.00, 90.00 degrees
Space group F-43m (No. 216)
Asymmetric unit:
Sr (0.0000, 0.0000, 0.0000)
P (0.0952, 0.0952, 0.5952)
Se (0.2500, 0.2500, 0.2500)

## Properties
- raw total energy (eV for the cell shown) = -114.0
- M_tot (Bohr magnetons per cell) = 0.0
- mass density (g/cm³) = 3.47